# VGaNiRh

VGaNiRh after structural relaxation (GGA-PBE, the Alexandria database).

Unit cell a=4.219 b=4.219 c=4.219 alpha=60.00 beta=60.00 gamma=60.00
Element x y z (fractional)
V 0.000 0.000 0.000
Ga 0.500 0.500 0.500
Ni 0.750 0.750 0.750
Rh 0.250 0.250 0.250

Summary:
The excess energy over the best structure of this formula in the dataset is 0.24 eV per formula unit. The symmetry is F-43m, No. 216. The value obtained for the energy of formation is -362 meV per atom.

# ScZnCu

ScZnCu after structural relaxation (GGA-PBE, the Alexandria database).

Unit cell a=5.144 b=5.144 c=5.144 alpha=119.75 beta=119.65 gamma=90.51
Element x y z (fractional)
Sc 0.374 0.124 0.250
Sc 0.626 0.876 0.750
Zn 0.000 0.500 0.500
Zn 0.500 0.500 0.000
Cu 0.000 0.000 0.500
Cu 0.000 0.500 0.000

Summary:
The symmetry is Imma, No. 74. The value obtained for the energy of formation is -292 meV per atom.

Calculated DFT total energy, -6.682, -4.192 eV per atom (same order as the records).